No. 1
Below is a relaxed BaAu crystal, with properties calculated at the PBE level.

## Properties
**Energy of formation from the pure elements**: -0.510 eV per atom
**Electronic total energy**: -3.11 eV/atom

```
data_BaAu
_chemical_formula_sum 'Ba2 Au2'
_symmetry_space_group_name_H-M 'P 1'
_symmetry_Int_Tables_number 1
_cell_length_a 7.0088
_cell_length_b 7.0088
_cell_length_c 7.0088
_cell_angle_alpha 140.92
_cell_angle_beta 140.92
_cell_angle_gamma 56.46
loop_
_symmetry_equiv_pos_as_xyz
'x,y,z'
loop_
_atom_site_label
_atom_site_type_symbol
_atom_site_fract_x
_atom_site_fract_y
_atom_site_fract_z
Au1 Au 0.0000 0.0000 0.0000
Au2 Au 0.2500 0.7500 0.5000
Ba1 Ba 0.5000 0.5000 0.0000
Ba2 Ba 0.7500 0.2500 0.5000
```

***

No. 2
Below is a relaxed FeNi crystal, with properties calculated at the PBE level.

## Properties
**Energy of formation from the pure elements**: -0.063 eV per atom
**Electronic total energy**: -7.18 eV/atom

```
data_FeNi
_chemical_formula_sum 'Fe1 Ni1'
_symmetry_space_group_name_H-M 'P 1'
_symmetry_Int_Tables_number 1
_cell_length_a 2.5061
_cell_length_b 2.5061
_cell_length_c 3.5937
_cell_angle_alpha 90.00
_cell_angle_beta 90.00
_cell_angle_gamma 90.00
loop_
_symmetry_equiv_pos_as_xyz
'x,y,z'
loop_
_atom_site_label
_atom_site_type_symbol
_atom_site_fract_x
_atom_site_fract_y
_atom_site_fract_z
Ni1 Ni 0.5000 0.5000 0.5000
Fe1 Fe 0.0000 0.0000 0.0000
```

***

No. 3
Below is a relaxed SmReOs crystal, with properties calculated at the PBE level.

## Properties
**Energy of formation from the pure elements**: -0.122 eV per atom
**Electronic total energy**: -9.59 eV/atom
**Energy above the most stable polymorph in this dataset**: 6 meV/atom

```
data_SmReOs
_chemical_formula_sum 'Sm2 Re2 Os2'
_symmetry_space_group_name_H-M 'P 1'
_symmetry_Int_Tables_number 1
_cell_length_a 5.4324
_cell_length_b 5.4324
_cell_length_c 5.4324
_cell_angle_alpha 91.38
_cell_angle_beta 122.67
_cell_angle_gamma 115.86
loop_
_symmetry_equiv_pos_as_xyz
'x,y,z'
loop_
_atom_site_label
_atom_site_type_symbol
_atom_site_fract_x
_atom_site_fract_y
_atom_site_fract_z
Sm1 Sm 0.2500 0.1253 0.8753
Sm2 Sm 0.7500 0.8747 0.1247
Re1 Re 0.5000 0.5000 0.5000
Re2 Re 0.0000 0.5000 0.0000
Os1 Os 0.0000 0.5000 0.5000
Os2 Os 0.5000 0.0000 0.5000
```

***

No. 4
Below is a relaxed Tb5SmEr6 crystal, with properties calculated at the PBE level.

## Properties
**Energy of formation from the pure elements**: 0.018 eV per atom
**Electronic total energy**: -4.59 eV/atom
**Energy above the most stable polymorph in this dataset**: 0 meV/atom

```
data_Tb5SmEr6
_chemical_formula_sum 'Tb5 Sm1 Er6'
_symmetry_space_group_name_H-M 'P 1'
_symmetry_Int_Tables_number 1
_cell_length_a 11.6976
_cell_length_b 6.1328
_cell_length_c 6.1284
_cell_angle_alpha 59.98
_cell_angle_beta 85.01
_cell_angle_gamma 79.99
loop_
_symmetry_equiv_pos_as_xyz
'x,y,z'
loop_
_atom_site_label
_atom_site_type_symbol
_atom_site_fract_x
_atom_site_fract_y
_atom_site_fract_z
Tb1 Tb 0.5000 0.1667 0.6666
Tb2 Tb 0.0000 0.3333 0.3334
Tb3 Tb 0.5000 0.5000 0.0000
Tb4 Tb 0.0000 0.6667 0.6666
Tb5 Tb 0.5000 0.8333 0.3334
Sm1 Sm 0.0000 0.0000 0.0000
Er1 Er 0.7494 0.0832 0.3336
Er2 Er 0.2506 0.5832 0.3336
Er3 Er 0.2505 0.2505 0.0000
Er4 Er 0.7495 0.7495 0.0000
Er5 Er 0.7494 0.4168 0.6664
Er6 Er 0.2506 0.9168 0.6664
```

***

No. 5
Below is a relaxed NdLuTl crystal, with properties calculated at the PBE level.

## Properties
**Energy of formation from the pure elements**: -0.209 eV per atom
**Electronic total energy**: -4.09 eV/atom
**Energy above the most stable polymorph in this dataset**: 0 meV/atom

```
data_NdLuTl
_chemical_formula_sum 'Nd1 Lu1 Tl1'
_symmetry_space_group_name_H-M 'P 1'
_symmetry_Int_Tables_number 1
_cell_length_a 3.6338
_cell_length_b 3.6338
_cell_length_c 7.2484
_cell_angle_alpha 104.52
_cell_angle_beta 104.52
_cell_angle_gamma 90.00
loop_
_symmetry_equiv_pos_as_xyz
'x,y,z'
loop_
_atom_site_label
_atom_site_type_symbol
_atom_site_fract_x
_atom_site_fract_y
_atom_site_fract_z
Tl1 Tl 0.2768 0.2768 0.5537
Lu1 Lu 0.6300 0.6300 0.2600
Nd1 Nd 0.9431 0.9431 0.8863
```

***

No. 6
Below is a relaxed TmScTlRu crystal, with properties calculated at the PBE level.

## Properties
**Energy of formation from the pure elements**: -0.287 eV per atom
**Electronic total energy**: -5.90 eV/atom
**Energy above the most stable polymorph in this dataset**: 185 meV/atom

```
data_TmScTlRu
_chemical_formula_sum 'Tm1 Sc1 Tl1 Ru1'
_symmetry_space_group_name_H-M 'P 1'
_symmetry_Int_Tables_number 1
_cell_length_a 4.9126
_cell_length_b 4.9126
_cell_length_c 4.9126
_cell_angle_alpha 60.00
_cell_angle_beta 60.00
_cell_angle_gamma 60.00
loop_
_symmetry_equiv_pos_as_xyz
'x,y,z'
loop_
_atom_site_label
_atom_site_type_symbol
_atom_site_fract_x
_atom_site_fract_y
_atom_site_fract_z
Sc1 Sc 0.7500 0.7500 0.7500
Ru1 Ru 0.0000 0.0000 0.0000
Tl1 Tl 0.5000 0.5000 0.5000
Tm1 Tm 0.2500 0.2500 0.2500
```

***

No. 7
Below is a relaxed MgSi2P crystal, with properties calculated at the PBE level.

## Properties
**Electronic total energy**: -4.32 eV/atom
**Energy above the most stable polymorph in this dataset**: 92 meV/atom

```
data_MgSi2P
_chemical_formula_sum 'Mg1 Si2 P1'
_symmetry_space_group_name_H-M 'P 1'
_symmetry_Int_Tables_number 1
_cell_length_a 5.1270
_cell_length_b 5.1270
_cell_length_c 4.5121
_cell_angle_alpha 68.16
_cell_angle_beta 68.16
_cell_angle_gamma 36.89
loop_
_symmetry_equiv_pos_as_xyz
'x,y,z'
loop_
_atom_site_label
_atom_site_type_symbol
_atom_site_fract_x
_atom_site_fract_y
_atom_site_fract_z
Mg1 Mg 0.7500 0.7500 0.7500
P1 P 0.2500 0.2500 0.2500
Si1 Si 0.9615 0.9615 0.0785
Si2 Si 0.5385 0.5385 0.4215
```

***

No. 8
Below is a relaxed Pu2HPd6Au crystal, with properties calculated at the PBE level.

## Properties
**Electronic total energy**: -6.89 eV/atom

```
data_Pu2HPd6Au
_chemical_formula_sum 'Pu2 H1 Pd6 Au1'
_symmetry_space_group_name_H-M 'P 1'
_symmetry_Int_Tables_number 1
_cell_length_a 6.3807
_cell_length_b 6.3897
_cell_length_c 6.3889
_cell_angle_alpha 59.98
_cell_angle_beta 60.02
_cell_angle_gamma 90.01
loop_
_symmetry_equiv_pos_as_xyz
'x,y,z'
loop_
_atom_site_label
_atom_site_type_symbol
_atom_site_fract_x
_atom_site_fract_y
_atom_site_fract_z
Pu1 Pu 0.7500 0.2500 0.5000
Pu2 Pu 0.2500 0.7500 0.5000
H1 H 0.5000 0.5000 0.0000
Pd1 Pd 0.2833 0.2833 0.4334
Pd2 Pd 0.7170 0.7163 0.9998
Pd3 Pd 0.2834 0.7166 0.0000
Pd4 Pd 0.7166 0.2834 0.9999
Pd5 Pd 0.2830 0.2837 0.0002
Pd6 Pd 0.7167 0.7167 0.5666
Au1 Au 0.0000 0.0000 0.0000
```

***

Repeat the first record exactly.
Below is a relaxed BaAu crystal, with properties calculated at the PBE level.

## Properties
**Energy of formation from the pure elements**: -0.510 eV per atom
**Electronic total energy**: -3.11 eV/atom

```
data_BaAu
_chemical_formula_sum 'Ba2 Au2'
_symmetry_space_group_name_H-M 'P 1'
_symmetry_Int_Tables_number 1
_cell_length_a 7.0088
_cell_length_b 7.0088
_cell_length_c 7.0088
_cell_angle_alpha 140.92
_cell_angle_beta 140.92
_cell_angle_gamma 56.46
loop_
_symmetry_equiv_pos_as_xyz
'x,y,z'
loop_
_atom_site_label
_atom_site_type_symbol
_atom_site_fract_x
_atom_site_fract_y
_atom_site_fract_z
Au1 Au 0.0000 0.0000 0.0000
Au2 Au 0.2500 0.7500 0.5000
Ba1 Ba 0.5000 0.5000 0.0000
Ba2 Ba 0.7500 0.2500 0.5000
```